one) Material: Ti2ZnAu6
Method: DFT, PBE-GGA
State: optimized geometry

Output
magnetic moment	0.0	μB/f.u.

a = 4.7966 Å, b = 7.7997 Å, c = 6.2706 Å
α = 128.46°, β = 112.48°, γ = 90.00°
Closest atoms and distances in Å follow each position.
Element x y z (fractional)
Ti  0.6671  0.6671  0.3343  8 Au 2.79-2.86, 1 Zn 2.85, 1 Ti 2.87
Ti  0.3329  0.3329  0.6657  8 Au 2.79-2.86, 1 Zn 2.85, 1 Ti 2.87
Zn  0.0000  0.0000  0.0000  8 Au 2.80-2.85, 2 Ti 2.85
Au  0.1655  0.4827  0.3310  3 Ti 2.79-2.86, 7 Au 2.84-2.99, 1 Zn 2.85
Au  0.8345  0.1517  0.6690  3 Ti 2.79-2.86, 7 Au 2.84-2.99, 1 Zn 2.85
Au  0.8345  0.5173  0.6690  3 Ti 2.79-2.86, 7 Au 2.84-2.99, 1 Zn 2.85
Au  0.5000  0.1863  0.0000  2 Zn 2.80, 2 Ti 2.84, 7 Au 2.87-2.97
Au  0.1655  0.8483  0.3310  3 Ti 2.79-2.86, 7 Au 2.84-2.99, 1 Zn 2.85
Au  0.5000  0.8137  0.0000  2 Zn 2.80, 2 Ti 2.84, 7 Au 2.87-2.97

---

two) Material: Ti2ZnAu6
Method: DFT, PBE-GGA
State: optimized geometry

Output
magnetic moment	0.0	μB/f.u.

a = 4.8918 Å, b = 8.5635 Å, c = 8.5635 Å
α = 120.02°, β = 90.54°, γ = 90.54°
Closest atoms and distances in Å follow each position.
Element x y z (fractional)
Ti  0.5000  0.6633  0.8366  10 Au 2.79-2.88
Ti  0.0000  0.1634  0.3367  10 Au 2.79-2.88
Ti  0.5000  0.3367  0.1634  10 Au 2.79-2.88
Ti  0.0000  0.8366  0.6633  10 Au 2.79-2.88
Zn  0.2500  0.2499  0.7501  10 Au 2.76-2.89
Zn  0.7500  0.7501  0.2499  10 Au 2.76-2.89
Au  0.5024  0.6681  0.5034  4 Ti 2.79-2.87, 5 Au 2.81-2.89, 1 Zn 2.87
Au  0.9976  0.4966  0.3319  4 Ti 2.79-2.87, 5 Au 2.81-2.89, 1 Zn 2.87
Au  0.4976  0.3319  0.4966  4 Ti 2.79-2.87, 5 Au 2.81-2.89, 1 Zn 2.87
Au  0.0024  0.5034  0.6681  4 Ti 2.79-2.87, 5 Au 2.81-2.89, 1 Zn 2.87
Au  0.2392  0.9154  0.4153  3 Zn 2.76-2.89, 5 Au 2.78-2.91, 2 Ti 2.79
Au  0.2608  0.5847  0.0846  3 Zn 2.76-2.89, 5 Au 2.78-2.91, 2 Ti 2.79
Au  0.7608  0.0846  0.5847  3 Zn 2.76-2.89, 5 Au 2.78-2.91, 2 Ti 2.79
Au  0.7392  0.4153  0.9154  3 Zn 2.76-2.89, 5 Au 2.78-2.91, 2 Ti 2.79
Au  0.9977  0.8319  0.9966  4 Ti 2.79-2.88, 5 Au 2.81-2.89, 1 Zn 2.87
Au  0.5023  0.0034  0.1681  4 Ti 2.79-2.88, 5 Au 2.81-2.89, 1 Zn 2.87
Au  0.0023  0.1681  0.0034  4 Ti 2.79-2.88, 5 Au 2.81-2.89, 1 Zn 2.87
Au  0.4977  0.9966  0.8319  4 Ti 2.79-2.88, 5 Au 2.81-2.89, 1 Zn 2.87

---

Which structure wins on stability? two) wins.